1.
TaRu2W PBE-GGA optimized geometry; uncorrected energy = -10.869 eV/atom; offset from the most stable computed form = 0.19 eV per formula unit; energy of formation = -11 kJ/mol of formula units; symmetry = Cm (8)
1.0
4.667 -1.430 0.000
4.667 1.430 0.000
-0.820 0.000 4.683
Ta Ru W
1 2 1
direct
0.000 0.000 0.000
0.485 0.485 0.494
0.751 0.751 0.201
0.229 0.229 0.683

2.
Mg5Cd2Hg2Rh PBE-GGA optimized geometry; uncorrected energy = -1.975 eV/atom; energy of formation = -192 kJ/mol of formula units; symmetry = P4/mbm (127)
1.0
11.391 0.000 0.000
0.000 11.391 0.000
0.000 0.000 3.283
Mg Cd Hg Rh
10 4 4 2
direct
0.000 0.500 0.000
0.019 0.187 0.000
0.187 0.981 0.000
0.313 0.481 0.000
0.481 0.687 0.000
0.500 0.000 0.000
0.519 0.313 0.000
0.687 0.519 0.000
0.813 0.019 0.000
0.981 0.813 0.000
0.168 0.668 0.500
0.332 0.168 0.500
0.668 0.832 0.500
0.832 0.332 0.500
0.150 0.350 0.500
0.350 0.850 0.500
0.650 0.150 0.500
0.850 0.650 0.500
0.000 0.000 0.500
0.500 0.500 0.500

3.
TiReW4 PBE-GGA optimized geometry; uncorrected energy = -12.131 eV/atom; energy of formation = -61 kJ/mol of formula units; symmetry = C2/m (12)
1.0
4.999 -1.585 0.000
4.999 1.585 0.000
-2.035 0.000 5.998
Ti Re W
1 1 4
direct
0.000 0.000 0.000
0.000 0.000 0.500
0.332 0.332 0.665
0.333 0.333 0.167
0.667 0.667 0.833
0.668 0.668 0.335

4.
Pu3GePt4 PBE-GGA optimized geometry; uncorrected energy = -9.445 eV/atom; energy of formation = -365 kJ/mol of formula units; symmetry = Immm (71)
1.0
-1.455 3.997 7.182
1.455 -3.997 7.182
1.455 3.997 -7.182
Pu Ge Pt
3 1 4
direct
0.000 0.000 0.000
0.260 0.760 0.500
0.740 0.240 0.500
0.500 0.500 0.000
0.139 0.384 0.755
0.371 0.616 0.755
0.629 0.384 0.245
0.861 0.616 0.245

energy of formation of number 4 (Pu3GePt4)?
-365 kJ/mol of formula units